Entry 1:
DFT (SCAN) results for CaBiAu3 at its PBEsol-relaxed geometry.

Values from the calculation:
total magnetization	0.00	μB/cell
energy of formation	0.51	eV/atom
total energy	-4.310	Ry/atom

abc: 5.136 5.136 5.136
angles: 90.00 90.00 90.00
Space group Pm-3m (No. 221)
Unique sites:
Ca (0.000, 0.000, 0.000) x1
Bi (0.500, 0.500, 0.500) x1
Au (0.000, 0.000, 0.500) x3

---

Entry 2:
DFT (SCAN) results for CaCdBiAu2 at its PBEsol-relaxed geometry.

Values from the calculation:
total magnetization	0.00	μB/cell
energy of formation	0.19	eV/atom
total energy	-3.763	Ry/atom

abc: 5.323 5.323 5.949
angles: 90.00 90.00 90.00
Space group P4/mmm (No. 123)
Unique sites:
Ca (0.000, 0.000, 0.000) x1
Cd (0.500, 0.500, 0.000) x1
Bi (0.000, 0.000, 0.500) x1
Au (0.000, 0.500, 0.500) x2

---

Entry 3:
DFT (SCAN) results for Cd2BiAu2 at its PBEsol-relaxed geometry.

Values from the calculation:
energy above the most stable polymorph in this dataset	0.028	eV per atom
total magnetization	0.00	μB/cell
energy of formation	-0.09	eV/atom
total energy	-4.089	Ry/atom

abc: 4.035 4.035 13.276
angles: 90.00 90.00 90.00
Space group I4/mmm (No. 139)
Unique sites:
Cd (0.000, 0.500, 0.250) x4
Bi (0.000, 0.000, 0.000) x2
Au (0.000, 0.000, 0.398) x4

---

Entry 4:
DFT (SCAN) results for Cd2BiAu2 at its PBEsol-relaxed geometry.

Values from the calculation:
energy above the most stable polymorph in this dataset	0.000	eV per atom
total magnetization	0.00	μB/cell
energy of formation	-0.11	eV/atom
total energy	-4.091	Ry/atom

abc: 8.121 8.121 3.152
angles: 90.00 90.00 90.00
Space group P4/mbm (No. 127)
Unique sites:
Cd (0.165, 0.335, 0.000) x4
Bi (0.000, 0.000, 0.500) x2
Au (0.131, 0.631, 0.500) x4

---

Entry 5:
DFT (SCAN) results for CeBi2Au at its PBEsol-relaxed geometry.

Values from the calculation:
total magnetization	1.58	μB/cell
energy of formation	-0.65	eV/atom
total energy	-5.025	Ry/atom

abc: 4.628 4.628 9.594
angles: 90.00 90.00 90.00
Space group P4/nmm (No. 129, origin choice 2)
Unique sites:
Ce (0.250, 0.250, 0.232) x2
Bi (0.250, 0.250, 0.804) x2
Bi (0.250, 0.750, 0.500) x2
Au (0.250, 0.750, 0.000) x2

---

Entry 6:
DFT (SCAN) results for BiAuCl6 at its PBEsol-relaxed geometry.

Values from the calculation:
total magnetization	0.00	μB/cell
total energy	-1.848	Ry/atom
formation energy from raw total energies	-0.6962	eV per atom

abc: 7.516 9.937 13.788
angles: 103.22 96.86 111.64
Space group P-1 (No. 2)
Unique sites:
Bi (0.031, 0.185, 0.128) x2
Bi (0.412, 0.573, 0.378) x2
Au (0.000, 0.500, 0.000) x1
Au (0.295, 0.133, 0.766) x2
Au (0.500, 0.000, 0.500) x1
Cl (0.026, 0.957, 0.221) x2
Cl (0.043, 0.449, 0.269) x2
Cl (0.225, 0.400, 0.027) x2
Cl (0.235, 0.706, 0.975) x2
Cl (0.241, 0.775, 0.478) x2
Cl (0.249, 0.067, 0.025) x2
Cl (0.260, 0.447, 0.514) x2
Cl (0.279, 0.350, 0.745) x2
Cl (0.294, 0.121, 0.497) x2
Cl (0.309, 0.913, 0.782) x2
Cl (0.387, 0.776, 0.248) x2
Cl (0.390, 0.308, 0.263) x2

---

Entry 7:
DFT (SCAN) results for HgBiAu2Cl at its PBEsol-relaxed geometry.

Values from the calculation:
total magnetization	0.00	μB/cell
total energy	-4.258	Ry/atom
formation energy from raw total energies	0.6684	eV per atom

abc: 4.710 4.710 5.763
angles: 90.00 90.00 90.00
Space group P4/mmm (No. 123)
Unique sites:
Hg (0.000, 0.000, 0.000) x1
Bi (0.500, 0.500, 0.000) x1
Au (0.000, 0.500, 0.500) x2
Cl (0.000, 0.000, 0.500) x1

---

Entry 8:
DFT (SCAN) results for K2BiAuCl6 at its PBEsol-relaxed geometry.

Values from the calculation:
total magnetization	0.00	μB/cell
total energy	-1.650	Ry/atom
formation energy from raw total energies	-1.2177	eV per atom

abc: 10.589 10.589 10.589
angles: 90.00 90.00 90.00
Space group Fm-3m (No. 225)
Unique sites:
K (0.250, 0.250, 0.250) x8
Bi (0.000, 0.000, 0.000) x4
Au (0.000, 0.000, 0.500) x4
Cl (0.000, 0.000, 0.254) x24